Entry 1:
# NbNi2Ge GGA-PBE relaxed
data_NbNi2Ge
_symmetry_space_group_name_H-M 'P 1'
_symmetry_Int_Tables_number 1
_cell_length_a 4.785
_cell_length_b 4.785
_cell_length_c 6.013
_cell_angle_alpha 106.90
_cell_angle_beta 106.90
_cell_angle_gamma 57.81
loop_
_symmetry_equiv_pos_as_xyz
'x,y,z'
loop_
_atom_site_label
_atom_site_fract_x
_atom_site_fract_y
_atom_site_fract_z
_atom_site_occupancy
Nb1 0.198 0.198 0.118 1
Nb2 0.802 0.802 0.882 1
Ni1 0.261 0.254 0.607 1
Ni2 0.746 0.739 0.393 1
Ni3 0.772 0.191 0.303 1
Ni4 0.809 0.228 0.697 1
Ge1 0.288 0.712 0.500 1
Ge2 0.472 0.528 0.000 1
# - symmetry = C2 (5)

---

Entry 2:
# Ac6Te3Pd2S GGA-PBE relaxed
data_Ac6Te3Pd2S
_symmetry_space_group_name_H-M 'P 1'
_symmetry_Int_Tables_number 1
_cell_length_a 7.784
_cell_length_b 7.784
_cell_length_c 8.303
_cell_angle_alpha 98.98
_cell_angle_beta 98.98
_cell_angle_gamma 120.03
loop_
_symmetry_equiv_pos_as_xyz
'x,y,z'
loop_
_atom_site_label
_atom_site_fract_x
_atom_site_fract_y
_atom_site_fract_z
_atom_site_occupancy
Ac1 0.089 0.427 0.780 1
Ac2 0.236 0.236 0.221 1
Ac3 0.427 0.089 0.780 1
Ac4 0.573 0.911 0.220 1
Ac5 0.764 0.764 0.779 1
Ac6 0.911 0.573 0.220 1
Te1 0.000 0.000 0.500 1
Te2 0.336 0.664 0.500 1
Te3 0.664 0.336 0.500 1
Pd1 0.167 0.833 0.000 1
Pd2 0.833 0.167 0.000 1
S1 0.500 0.500 0.000 1
# - formation energy without anion corrections (eV per atom) = -1.324
# - symmetry = C2/m (12)

---

Entry 3:
# CdCoPdRu2 GGA-PBE relaxed
data_CdCoPdRu2
_symmetry_space_group_name_H-M 'P 1'
_symmetry_Int_Tables_number 1
_cell_length_a 4.363
_cell_length_b 4.363
_cell_length_c 4.778
_cell_angle_alpha 90.00
_cell_angle_beta 90.00
_cell_angle_gamma 90.00
loop_
_symmetry_equiv_pos_as_xyz
'x,y,z'
loop_
_atom_site_label
_atom_site_fract_x
_atom_site_fract_y
_atom_site_fract_z
_atom_site_occupancy
Cd1 0.000 0.000 0.000 1
Co1 0.000 0.000 0.500 1
Pd1 0.500 0.500 0.000 1
Ru1 0.000 0.500 0.500 1
Ru2 0.500 0.000 0.500 1
# - symmetry = P4/mmm (123)

---

Entry 4:
# Cs2AsH4 GGA-PBE relaxed
data_Cs2AsH4
_symmetry_space_group_name_H-M 'P 1'
_symmetry_Int_Tables_number 1
_cell_length_a 7.906
_cell_length_b 7.906
_cell_length_c 7.906
_cell_angle_alpha 147.96
_cell_angle_beta 147.96
_cell_angle_gamma 45.94
loop_
_symmetry_equiv_pos_as_xyz
'x,y,z'
loop_
_atom_site_label
_atom_site_fract_x
_atom_site_fract_y
_atom_site_fract_z
_atom_site_occupancy
Cs1 0.138 0.138 0.000 1
Cs2 0.862 0.862 0.000 1
As1 0.500 0.500 0.000 1
H1 0.000 0.500 0.500 1
H2 0.368 0.368 0.000 1
H3 0.500 0.000 0.500 1
H4 0.632 0.632 0.000 1
# - energy relative to the lowest polymorph listed for this composition (meV per atom) = 56.4
# - symmetry = I4/mmm (139)

---

Asked for electronic total energy across the records above, the calculation gives -54.63; -64.47; -26.07; -19.16 eV/cell in order.